Record 1
First-principles (PBE) data for crystalline SnPH6CI3 at its relaxed geometry, as listed in Alexandria via LeMat-Bulk.

ΔE to the lowest computed polymorph ... 0.0 meV/atom

abc: 7.855 9.105 16.204
angles: 87.06 88.28 88.11
Element x y z (fractional)
Sn: 0.000 0.000 0.000
Sn: 0.105 0.491 0.498
Sn: 0.500 0.993 0.999
Sn: 0.606 0.496 0.497
P: 0.263 0.441 0.112
P: 0.322 0.939 0.608
P: 0.792 0.940 0.281
P: 0.839 0.438 0.777
H: 0.002 0.063 0.353
H: 0.105 0.372 0.119
H: 0.180 0.853 0.595
H: 0.182 0.098 0.703
H: 0.216 0.616 0.217
H: 0.258 0.546 0.044
H: 0.284 0.941 0.756
H: 0.316 0.447 0.257
H: 0.337 0.046 0.542
H: 0.391 0.333 0.094
H: 0.409 0.091 0.715
H: 0.438 0.578 0.195
H: 0.470 0.846 0.607
H: 0.627 0.889 0.300
H: 0.697 0.511 0.902
H: 0.702 0.469 0.723
H: 0.782 0.039 0.210
H: 0.790 0.125 0.381
H: 0.801 0.662 0.848
H: 0.839 0.286 0.799
H: 0.870 0.951 0.422
H: 0.894 0.816 0.262
H: 0.924 0.524 0.906
H: 0.993 0.470 0.733
C: 0.297 0.025 0.705
C: 0.312 0.529 0.204
C: 0.813 0.545 0.867
C: 0.871 0.029 0.368
I: 0.223 0.249 0.919
I: 0.226 0.996 0.159
I: 0.268 0.764 0.922
I: 0.349 0.493 0.658
I: 0.368 0.745 0.418
I: 0.373 0.261 0.418
I: 0.733 0.753 0.085
I: 0.741 0.239 0.077
I: 0.749 0.000 0.844
I: 0.844 0.731 0.579
I: 0.867 0.501 0.343
I: 0.878 0.248 0.583

Record 2
First-principles (PBE) data for crystalline HPbCI2 at its relaxed geometry, as listed in Alexandria via LeMat-Bulk.

E ... -11.98 eV/cell

abc: 5.791 5.791 3.943
angles: 90.00 90.00 90.00
Element x y z (fractional)
H: 0.000 0.000 0.000
Pb: 0.000 0.000 0.500
C: 0.500 0.500 0.500
I: 0.000 0.500 0.000
I: 0.500 0.000 0.000

Record 3
First-principles (PBE) data for crystalline Pr6HC2I3 at its relaxed geometry, as listed in Alexandria via LeMat-Bulk.

E ... -62.63 eV/cell

abc: 6.825 6.825 8.125
angles: 98.15 98.15 119.88
Element x y z (fractional)
Pr: 0.092 0.442 0.823
Pr: 0.209 0.209 0.178
Pr: 0.442 0.092 0.823
Pr: 0.558 0.908 0.177
Pr: 0.791 0.791 0.822
Pr: 0.908 0.558 0.177
H: 0.500 0.500 0.000
C: 0.166 0.834 0.000
C: 0.834 0.166 0.000
I: 0.000 0.000 0.500
I: 0.333 0.667 0.500
I: 0.667 0.333 0.500

Record 4
First-principles (PBE) data for crystalline Pr8HC3I3 at its relaxed geometry, as listed in Alexandria via LeMat-Bulk.

E ... -81.47 eV/cell

abc: 7.794 7.794 8.951
angles: 115.86 115.86 59.97
Element x y z (fractional)
Pr: 0.203 0.741 0.685
Pr: 0.226 0.226 0.678
Pr: 0.258 0.258 0.315
Pr: 0.259 0.797 0.315
Pr: 0.741 0.203 0.685
Pr: 0.742 0.742 0.685
Pr: 0.774 0.774 0.322
Pr: 0.797 0.259 0.315
H: 0.500 0.500 0.500
C: 0.000 0.000 0.500
C: 0.000 0.500 0.500
C: 0.500 0.000 0.500
I: 0.000 0.500 0.000
I: 0.500 0.000 0.000
I: 0.500 0.500 0.000

Record 5
First-principles (PBE) data for crystalline Rb2HCI6 at its relaxed geometry, as listed in Alexandria via LeMat-Bulk.

E ... -22.97 eV/cell

abc: 8.481 8.481 8.481
angles: 130.19 130.19 73.11
Element x y z (fractional)
Rb: 0.250 0.750 0.500
Rb: 0.750 0.250 0.500
H: 0.000 0.000 0.000
C: 0.500 0.500 0.000
I: 0.246 0.246 0.491
I: 0.246 0.754 0.000
I: 0.295 0.295 0.000
I: 0.705 0.705 0.000
I: 0.754 0.246 0.000
I: 0.754 0.754 0.509

Record 6
First-principles (PBE) data for crystalline RbHC2I at its relaxed geometry, as listed in Alexandria via LeMat-Bulk.

E ... -11.84 eV/cell

abc: 4.599 4.599 4.920
angles: 90.00 90.00 90.00
Element x y z (fractional)
Rb: 0.000 0.000 0.000
H: 0.000 0.000 0.500
C: 0.000 0.500 0.500
C: 0.500 0.000 0.500
I: 0.500 0.500 0.000

Record 7
First-principles (PBE) data for crystalline HRuCI2 at its relaxed geometry, as listed in Alexandria via LeMat-Bulk.

E ... -17.61 eV/cell

abc: 5.280 5.280 3.860
angles: 90.00 90.00 90.00
Element x y z (fractional)
H: 0.000 0.000 0.000
Ru: 0.500 0.500 0.000
C: 0.500 0.500 0.500
I: 0.000 0.500 0.500
I: 0.500 0.000 0.500

Record 8
First-principles (PBE) data for crystalline SrH5CSI3 at its relaxed geometry, as listed in Alexandria via LeMat-Bulk.

E ... -171.45 eV/cell

abc: 4.924 11.327 20.573
angles: 88.65 89.46 89.54
Element x y z (fractional)
Sr: 0.000 0.000 0.000
Sr: 0.035 0.474 0.389
Sr: 0.501 0.679 0.893
Sr: 0.560 0.149 0.505
H: 0.149 0.629 0.605
H: 0.150 0.775 0.569
H: 0.190 0.236 0.726
H: 0.205 0.280 0.858
H: 0.247 0.945 0.240
H: 0.298 0.433 0.206
H: 0.300 0.267 0.167
H: 0.305 0.441 0.081
H: 0.337 0.791 0.257
H: 0.415 0.930 0.364
H: 0.549 0.882 0.205
H: 0.612 0.357 0.068
H: 0.629 0.500 0.103
H: 0.632 0.038 0.307
H: 0.806 0.287 0.858
H: 0.828 0.244 0.725
H: 0.833 0.700 0.583
H: 0.837 0.866 0.668
H: 0.838 0.697 0.709
H: 0.995 0.135 0.777
C: 0.005 0.225 0.756
C: 0.039 0.713 0.601
C: 0.412 0.881 0.248
C: 0.509 0.420 0.099
S: 0.010 0.334 0.819
S: 0.030 0.775 0.681
S: 0.493 0.353 0.180
S: 0.619 0.918 0.317
I: 0.003 0.516 0.950
I: 0.052 0.337 0.537
I: 0.072 0.980 0.447
I: 0.500 0.816 0.037
I: 0.501 0.174 0.940
I: 0.518 0.553 0.752
I: 0.522 0.022 0.645
I: 0.531 0.641 0.433
I: 0.545 0.273 0.355
I: 0.966 0.112 0.143
I: 0.987 0.575 0.240
I: 0.999 0.872 0.854

Record 9
First-principles (PBE) data for crystalline Sb2HCI at its relaxed geometry, as listed in Alexandria via LeMat-Bulk.

ΔE to the lowest computed polymorph ... 0.0 meV/atom

abc: 4.742 4.742 5.154
angles: 90.00 90.00 90.00
Element x y z (fractional)
Sb: 0.000 0.500 0.000
Sb: 0.500 0.000 0.000
H: 0.000 0.000 0.500
C: 0.500 0.500 0.000
I: 0.500 0.500 0.500

Record 10
First-principles (PBE) data for crystalline Sb2HCI at its relaxed geometry, as listed in Alexandria via LeMat-Bulk.

ΔE to the lowest computed polymorph ... 206.3 meV/atom

abc: 4.368 4.368 5.421
angles: 90.00 90.00 90.00
Element x y z (fractional)
Sb: 0.000 0.500 0.000
Sb: 0.500 0.000 0.000
H: 0.000 0.000 0.000
C: 0.500 0.500 0.500
I: 0.000 0.000 0.500

Record 11
First-principles (PBE) data for crystalline Sm8HC3I4 at its relaxed geometry, as listed in Alexandria via LeMat-Bulk.

E ... -85.38 eV/cell

abc: 7.710 7.710 8.821
angles: 115.94 115.94 59.92
Element x y z (fractional)
Sm: 0.209 0.734 0.676
Sm: 0.224 0.224 0.673
Sm: 0.266 0.266 0.323
Sm: 0.266 0.791 0.324
Sm: 0.734 0.209 0.676
Sm: 0.734 0.734 0.677
Sm: 0.776 0.776 0.327
Sm: 0.791 0.266 0.324
H: 0.500 0.500 0.500
C: 0.000 0.000 0.500
C: 0.000 0.500 0.500
C: 0.500 0.000 0.500
I: 0.000 0.000 0.000
I: 0.000 0.500 0.000
I: 0.500 0.000 0.000
I: 0.500 0.500 0.000

Record 12
First-principles (PBE) data for crystalline Sm8HC3I3 at its relaxed geometry, as listed in Alexandria via LeMat-Bulk.

E ... -81.40 eV/cell

abc: 8.690 8.690 8.690
angles: 52.25 52.25 52.25
Element x y z (fractional)
Sm: 0.202 0.742 0.742
Sm: 0.225 0.225 0.225
Sm: 0.258 0.258 0.798
Sm: 0.258 0.798 0.258
Sm: 0.742 0.202 0.742
Sm: 0.742 0.742 0.202
Sm: 0.775 0.775 0.775
Sm: 0.798 0.258 0.258
H: 0.500 0.500 0.500
C: 0.000 0.000 0.500
C: 0.000 0.500 0.000
C: 0.500 0.000 0.000
I: 0.000 0.500 0.500
I: 0.500 0.000 0.500
I: 0.500 0.500 0.000

For each record above, in turn, the calculated spin magnetization values are 0.000 0.307 0.000 0.000 0.000 0.566 0.205 0.000 0.064 0.000 0.000 0.000 μB/atom.